Below is a geometry-optimized AlTc2Ru structure, with properties calculated at the GGA-PBE level.

Cell lengths 2.7860, 2.7860, 25.7081 Å; angles 90.00, 90.00, 120.00 degrees
Space group R3m (No. 160, hexagonal axes)
Asymmetric unit:
Al1 0.0000 0.0000 0.0000 x3
Tc1 0.0000 0.0000 0.2485 x3
Tc2 0.0000 0.0000 0.4994 x3
Ru1 0.0000 0.0000 0.7483 x3

uncorrected energy	-0.6291	Ry per atom
relative energy among the computed polymorphs	127	meV/atom
ΔH_f (0 K)	-122	meV per atom

---

Below is a geometry-optimized CsTl5Hg2 structure, with properties calculated at the GGA-PBE level.

Cell lengths 4.9854, 8.9627, 12.3729 Å; angles 90.00, 90.00, 90.00 degrees
Space group Immm (No. 71)
Asymmetric unit:
Cs1 0.0000 0.0000 0.0000 x2
Tl1 0.0000 0.1887 0.3612 x8
Tl2 0.0000 0.5000 0.0000 x2
Hg1 0.0000 0.5000 0.2550 x4

uncorrected energy	-0.1268	Ry per atom
ΔH_f (0 K)	-64	meV per atom

---

Below is a geometry-optimized Pu2CuSe structure, with properties calculated at the GGA-PBE level.

Cell lengths 4.9132, 4.9132, 3.6091 Å; angles 90.00, 90.00, 90.00 degrees
Space group P4/mmm (No. 123)
Asymmetric unit:
Pu1 0.0000 0.5000 0.0000 x2
Cu1 0.0000 0.0000 0.5000 x1
Se1 0.5000 0.5000 0.5000 x1

uncorrected energy	-0.7063	Ry per atom
relative energy among the computed polymorphs	0	meV/atom
formation energy (no corrections)	-2.192	eV/f.u.

---

> What is the formula in the first record?

AlTc2Ru

---

> What is the uncorrected energy in the third record?

-0.7063 Ry per atom